! PBE Na2TiOsO6, relaxed; values from VASP
! SG: P4/mmm
! Energy relative to the elements, uncorrected, eV/atom: -1.86
! Crystal system: tetragonal
&SYSTEM
  ibrav = 0, nat = 10, ntyp = 4
/
ATOMIC_SPECIES
Na 22.99 Na.upf
Ti 47.87 Ti.upf
Os 190.23 Os.upf
O 16.00 O.upf
CELL_PARAMETERS angstrom
5.489 0.000 0.000
0.000 5.489 0.000
0.000 0.000 3.843
ATOMIC_POSITIONS crystal
Na 0.000 0.500 0.000
Na 0.500 0.000 0.000
Ti 0.000 0.000 0.500
Os 0.500 0.500 0.500
O 0.000 0.000 0.000
O 0.254 0.254 0.500
O 0.254 0.746 0.500
O 0.500 0.500 0.000
O 0.746 0.254 0.500
O 0.746 0.746 0.500